Record 1
{"formula": "Cs2NbI7", "functional": "PBE", "state": "optimized geometry", "total_magnetization_mub_per_cell": 0.81, "lattice": [[8.046, 0.000, 3.924], [3.644, 10.975, 2.739], [-0.271, -1.333, 10.768]], "species": ["I", "I", "Cs", "I", "I", "I", "Cs", "I", "I", "I", "Cs", "I", "I", "Nb", "I", "I", "I", "Nb", "Cs", "I"], "fractional_positions": [[0.831, 0.769, 0.073], [0.974, 0.319, 0.483], [0.257, 0.550, 0.783], [0.327, 0.269, 0.573], [0.224, 0.819, 0.983], [0.811, 0.496, 0.830], [0.590, 0.950, 0.717], [0.863, 0.996, 0.330], [0.347, 0.750, 0.250], [0.026, 0.681, 0.517], [0.410, 0.050, 0.283], [0.653, 0.250, 0.750], [0.169, 0.231, 0.927], [0.020, 0.750, 0.250], [0.673, 0.731, 0.427], [0.776, 0.181, 0.017], [0.137, 0.004, 0.670], [0.980, 0.250, 0.750], [0.743, 0.450, 0.217], [0.189, 0.504, 0.170]]}

Record 2
{"formula": "CsNbI", "functional": "PBE", "state": "optimized geometry", "total_magnetization_mub_per_cell": 0.06, "polymorph_energy_mev_per_atom": 38, "lattice": [[-3.223, -6.972, -1.057], [1.055, 0.060, -3.609], [17.403, -2.139, 5.051]], "species": ["Nb", "Cs", "I", "Nb", "Cs", "Nb", "Nb", "I", "I", "Cs", "I", "Cs"], "fractional_positions": [[0.872, 0.500, 0.157], [0.378, 0.000, 0.747], [0.575, 0.000, 0.110], [0.872, 0.000, 0.657], [0.378, 0.500, 0.247], [0.887, 0.500, 0.757], [0.887, 0.000, 0.257], [0.575, 0.500, 0.610], [0.213, 0.500, 0.891], [0.889, 0.500, 0.469], [0.213, 0.000, 0.391], [0.889, 0.000, 0.969]]}

Record 3
{"formula": "CsNb3I", "functional": "PBE", "state": "optimized geometry", "total_magnetization_mub_per_cell": 0.00, "polymorph_energy_mev_per_atom": 818, "lattice": [[-4.311, -0.068, -2.781], [0.788, -4.948, -1.101], [-2.667, -1.353, 4.168]], "species": ["I", "Nb", "Nb", "Cs", "Nb"], "fractional_positions": [[0.500, 0.500, 0.500], [0.000, 0.000, 0.500], [0.500, 0.000, 0.000], [0.000, 0.000, 0.000], [0.000, 0.500, 0.000]]}

Record 4
{"formula": "Cs2Nb2I", "functional": "PBE", "state": "optimized geometry", "total_magnetization_mub_per_cell": 0.00, "lattice": [[-2.694, 4.831, 5.140], [-6.965, -0.952, -2.755], [-5.435, -1.170, 3.797]], "species": ["Nb", "Cs", "Cs", "I", "Nb"], "fractional_positions": [[0.626, 0.626, 0.748], [0.250, 0.750, 0.500], [0.750, 0.250, 0.500], [0.000, 0.000, 0.000], [0.374, 0.374, 0.252]]}

Record 5
{"formula": "CsNbI6", "functional": "PBE", "state": "optimized geometry", "total_magnetization_mub_per_cell": 0.00, "polymorph_energy_mev_per_atom": 0, "lattice": [[-3.897, 6.016, -1.858], [-2.065, -6.860, -3.126], [-7.001, -0.697, 12.427]], "species": ["I", "I", "Cs", "Cs", "Nb", "Nb", "I", "I", "I", "I", "I", "I", "I", "I", "I", "I"], "fractional_positions": [[0.413, 0.701, 0.467], [0.970, 0.148, 0.397], [0.580, 0.000, 0.750], [0.420, 0.000, 0.250], [0.000, 0.500, 0.500], [0.500, 0.500, 0.000], [0.289, 0.701, 0.967], [0.711, 0.299, 0.033], [0.178, 0.148, 0.897], [0.822, 0.852, 0.103], [0.692, 0.578, 0.833], [0.308, 0.422, 0.167], [0.587, 0.299, 0.533], [0.030, 0.852, 0.603], [0.885, 0.578, 0.333], [0.115, 0.422, 0.667]]}

Record 6
{"formula": "Cs3NbI8", "functional": "PBE", "state": "optimized geometry", "total_magnetization_mub_per_cell": 0.00, "lattice": [[9.955, 0.000, 0.000], [0.000, 10.042, -5.798], [0.000, 0.000, 11.596]], "species": ["I", "Cs", "Nb", "Cs", "I", "I", "I", "I", "I", "I", "I", "I", "I", "I", "Cs", "Cs", "Cs", "I", "I", "Cs", "Nb", "I", "I", "I"], "fractional_positions": [[0.290, 0.223, 0.447], [0.690, 0.149, 0.851], [0.083, 0.333, 0.667], [0.190, 0.851, 0.701], [0.013, 0.069, 0.534], [0.513, 0.534, 0.466], [0.290, 0.553, 0.777], [0.013, 0.466, 0.931], [0.790, 0.777, 0.553], [0.013, 0.466, 0.534], [0.790, 0.447, 0.223], [0.942, 0.000, 0.000], [0.790, 0.777, 0.223], [0.513, 0.534, 0.069], [0.190, 0.299, 0.149], [0.690, 0.701, 0.851], [0.690, 0.149, 0.299], [0.268, 0.667, 0.333], [0.513, 0.931, 0.466], [0.190, 0.851, 0.149], [0.583, 0.667, 0.333], [0.768, 0.333, 0.667], [0.290, 0.223, 0.777], [0.442, 0.000, 0.000]]}

| no. | formation energy (no corrections) (eV/atom) | volume (A^3/atom) |
| --- | --- | --- |
| 1 | -0.78 | 48.64 |
| 2 | 0.13 | 41.87 |
| 3 | 2.73 | 27.00 |
| 4 | 0.93 | 46.76 |
| 5 | -0.71 | 44.58 |
| 6 | -0.91 | 48.30 |